w:
Here is crystalline ReNiBPIr at its relaxed geometry from the Alexandria database. Energies are from PBE.

Summary:
Space group: No. 8

Geometry as POSCAR:
```
ReNiBPIr
1.0
-0.802 4.732 4.481
-1.486 -1.849 1.687
6.235 -5.387 -0.413
Re B Ir P Ni
2 2 2 2 2
direct
0.573 0.000 0.542 Re
0.573 0.500 0.042 Re
0.278 0.000 0.807 B
0.278 0.500 0.307 B
0.036 0.000 0.303 Ir
0.036 0.500 0.803 Ir
0.703 0.000 0.325 P
0.703 0.500 0.825 P
0.279 0.000 0.134 Ni
0.279 0.500 0.634 Ni
```

---

x:
Here is crystalline ReNiBPIr at its relaxed geometry from the Alexandria database. Energies are from PBE.

Summary:
Space group: No. 8

Geometry as POSCAR:
```
ReNiBPIr
1.0
-1.692 2.265 0.627
-1.226 0.424 -4.861
-1.898 -4.014 2.708
Re B Ir P Ni
1 1 1 1 1
direct
0.875 0.712 0.668 Re
0.197 0.620 0.310 B
0.560 0.243 0.037 Ir
0.872 0.243 0.660 P
0.639 0.829 0.193 Ni
```

---

y:
Here is crystalline ReNiBPIr at its relaxed geometry from the Alexandria database. Energies are from PBE.

Summary:
Space group: No. 8

Geometry as POSCAR:
```
ReNiBPIr
1.0
5.492 0.000 0.004
0.000 2.911 0.000
-1.351 0.000 8.081
Re B Ir P Ni
2 2 2 2 2
direct
0.557 0.000 0.294 Re
0.557 0.500 0.794 Re
0.279 0.000 0.664 B
0.279 0.500 0.164 B
0.033 0.000 0.224 Ir
0.033 0.500 0.724 Ir
0.710 0.000 0.015 P
0.710 0.500 0.515 P
0.290 0.000 0.980 Ni
0.290 0.500 0.480 Ni
```

---

z:
Here is crystalline ReNiBPIr at its relaxed geometry from the Alexandria database. Energies are from PBE.

Summary:
Space group: No. 8

Geometry as POSCAR:
```
ReNiBPIr
1.0
-2.121 -2.820 -2.080
-0.736 -1.492 2.772
-7.051 7.448 2.137
Re B Ir P Ni
2 2 2 2 2
direct
0.436 0.000 0.240 Re
0.436 0.500 0.740 Re
0.531 0.000 0.876 B
0.531 0.500 0.376 B
0.523 0.000 0.508 Ir
0.523 0.500 0.008 Ir
0.875 0.000 0.132 P
0.875 0.500 0.632 P
0.989 0.000 0.810 Ni
0.989 0.500 0.310 Ni
```

---

Q: Which of them is the least stable? A: x.

---

w:
Here is crystalline ReNiBPIr at its relaxed geometry from the Alexandria database. Energies are from PBE.

Summary:
Space group: No. 8

Geometry as POSCAR:
```
ReNiBPIr
1.0
5.648 0.000 -0.025
0.000 3.009 0.000
-5.431 0.000 7.003
Re B Ir P Ni
2 2 2 2 2
direct
0.692 0.000 0.997 Re
0.692 0.500 0.497 Re
0.306 0.000 0.346 B
0.306 0.500 0.846 B
0.059 0.000 0.869 Ir
0.059 0.500 0.369 Ir
0.602 0.000 0.245 P
0.602 0.500 0.745 P
0.210 0.000 0.653 Ni
0.210 0.500 0.153 Ni
```

---

x:
Here is crystalline ReNiBPIr at its relaxed geometry from the Alexandria database. Energies are from PBE.

Summary:
Space group: No. 6

Geometry as POSCAR:
```
ReNiBPIr
1.0
-1.827 -3.117 -2.636
2.348 -1.694 0.377
-1.454 -1.009 4.526
Re B Ir P Ni
1 1 1 1 1
direct
0.014 0.000 0.318 Re
0.572 0.000 0.456 B
0.856 0.500 0.790 Ir
0.317 0.500 0.658 P
0.463 0.500 0.133 Ni
```

---

y:
Here is crystalline ReNiBPIr at its relaxed geometry from the Alexandria database. Energies are from PBE.

Summary:
Space group: No. 8

Geometry as POSCAR:
```
ReNiBPIr
1.0
5.092 0.000 -0.003
0.000 2.909 0.000
-3.814 0.000 8.254
Re B Ir P Ni
2 2 2 2 2
direct
0.650 0.000 0.840 Re
0.650 0.500 0.340 Re
0.303 0.000 0.303 B
0.303 0.500 0.803 B
0.037 0.000 0.616 Ir
0.037 0.500 0.116 Ir
0.661 0.000 0.131 P
0.661 0.500 0.631 P
0.219 0.000 0.932 Ni
0.219 0.500 0.432 Ni
```

---

Q: Which of them is the least stable? A: w.

---

w:
Here is crystalline ReNiBPIr at its relaxed geometry from the Alexandria database. Energies are from PBE.

Summary:
Space group: No. 1

Geometry as POSCAR:
```
ReNiBPIr
1.0
-2.720 -1.250 -1.112
0.436 -4.205 -0.893
-2.031 -3.069 3.847
Re B Ir P Ni
1 1 1 1 1
direct
0.954 0.933 0.392 Re
0.319 0.894 0.710 B
0.793 0.675 0.982 Ir
0.260 0.377 0.339 P
0.595 0.343 0.708 Ni
```

---

x:
Here is crystalline ReNiBPIr at its relaxed geometry from the Alexandria database. Energies are from PBE.

Summary:
Space group: No. 8

Geometry as POSCAR:
```
ReNiBPIr
1.0
5.161 0.000 -0.001
0.000 2.887 0.000
-4.759 0.000 8.418
Re B Ir P Ni
2 2 2 2 2
direct
0.665 0.000 0.859 Re
0.665 0.500 0.359 Re
0.314 0.000 0.305 B
0.314 0.500 0.805 B
0.056 0.000 0.616 Ir
0.056 0.500 0.116 Ir
0.595 0.000 0.605 P
0.595 0.500 0.105 P
0.239 0.000 0.937 Ni
0.239 0.500 0.437 Ni
```

---

y:
Here is crystalline ReNiBPIr at its relaxed geometry from the Alexandria database. Energies are from PBE.

Summary:
Space group: No. 8

Geometry as POSCAR:
```
ReNiBPIr
1.0
5.798 0.000 -0.021
0.000 3.067 0.000
-3.507 0.000 7.034
Re B Ir P Ni
2 2 2 2 2
direct
0.499 0.000 0.031 Re
0.499 0.500 0.531 Re
0.414 0.000 0.306 B
0.414 0.500 0.806 B
0.017 0.000 0.305 Ir
0.017 0.500 0.805 Ir
0.721 0.000 0.822 P
0.721 0.500 0.322 P
0.219 0.000 0.649 Ni
0.219 0.500 0.149 Ni
```

---

Q: Which of them is the least stable? A: y.

---

w:
Here is crystalline NpB3Ir3 at its relaxed geometry from the Alexandria database. Energies are from PBE.

Summary:
Space group: No. 223

Geometry as POSCAR:
```
NpB3Ir3
1.0
-1.650 4.844 -2.924
-3.196 -3.311 -3.683
-4.669 0.554 3.554
Np B Ir
2 6 6
direct
0.500 0.500 0.500 Np
0.000 0.000 0.000 Np
0.250 0.000 0.500 B
0.000 0.500 0.250 B
0.500 0.750 0.000 B
0.750 0.000 0.500 B
0.000 0.500 0.750 B
0.500 0.250 0.000 B
0.000 0.250 0.500 Ir
0.000 0.750 0.500 Ir
0.500 0.000 0.750 Ir
0.750 0.500 0.000 Ir
0.500 0.000 0.250 Ir
0.250 0.500 0.000 Ir
```

---

x:
Here is crystalline NpB3Ir3 at its relaxed geometry from the Alexandria database. Energies are from PBE.

Summary:
Space group: No. 176

Geometry as POSCAR:
```
NpB3Ir3
1.0
3.649 0.000 0.000
0.000 6.720 -3.837
0.000 -0.037 7.738
Np B Ir
2 6 6
direct
0.750 0.333 0.667 Np
0.250 0.667 0.333 Np
0.750 0.948 0.383 B
0.750 0.436 0.052 B
0.750 0.617 0.564 B
0.250 0.052 0.617 B
0.250 0.564 0.948 B
0.250 0.383 0.436 B
0.750 0.732 0.068 Ir
0.750 0.336 0.268 Ir
0.750 0.932 0.664 Ir
0.250 0.268 0.932 Ir
0.250 0.664 0.732 Ir
0.250 0.068 0.336 Ir
```

---

Q: Which of them is the least stable? A: w.